The following is a PBE-GGA calculation of Na2PmHo3Te6 after structural relaxation, from Alexandria via LeMat-Bulk.

The space group is C2/m (No. 12) and the conventional cell measures 7.613, 13.178 and 7.750 Å, with angles of 90.00, 109.10 and 90.00 degrees. The asymmetric unit holds Na at (0.000, 0.167, 0.000), Pm at (0.000, 0.500, 0.000), Ho at (0.000, 0.000, 0.500), Ho at (0.000, 0.333, 0.500), Te at (0.247, 0.167, 0.742) and Te at (0.247, 0.500, 0.740).

The calculation puts the final energy at -4.643 eV/atom. The calculation puts the magnetization at 0.00 μB/cell. The uncorrected formation energy is -126.6 kJ per mole of atoms.